1.
The following is a DFT calculation (PBE-GGA) of a relaxed LiAsPdO crystal.

Lattice parameters (Å, degrees): 3.8979 3.8979 6.7219 90.00 90.00 90.00
Last column: nearest neighbours and their distance in Å.
Sites, in units of the cell vectors:
1 As 0.7500 0.7500 0.2500  1 Li 2.42, 4 O 2.57, 4 Pd 2.57
2 As 0.2500 0.2500 0.7500  1 Li 2.42, 4 O 2.57, 4 Pd 2.57
3 Li 0.2500 0.2500 0.1097  4 O 2.08
4 Li 0.7500 0.7500 0.8903  4 O 2.08
5 O 0.7500 0.2500 0.0000  4 Li 2.08
6 O 0.2500 0.7500 0.0000  4 Li 2.08
7 Pd 0.7500 0.2500 0.5000  4 As 2.57, 4 Pd 2.76
8 Pd 0.2500 0.7500 0.5000  4 As 2.57, 4 Pd 2.76

Values from the calculation:
SG   P4/nmm
Energy above the lowest structure with this stoichiometry   26.5 meV per atom
Calculated density   6.6 g/cm³

2.
The following is a DFT calculation (PBE-GGA) of a relaxed LiAsPdO crystal.

Lattice parameters (Å, degrees): 3.8809 5.9216 5.4017 90.00 90.00 90.00
Last column: nearest neighbours and their distance in Å.
Sites, in units of the cell vectors:
1 As 0.0000 0.8412 0.3697  2 Pd 2.42-2.48, 2 Li 2.64
2 As 0.0000 0.1588 0.8697  2 Pd 2.42-2.48, 2 Li 2.64
3 Li 0.5000 0.4008 0.0665  2 O 1.84-1.85
4 Li 0.5000 0.5992 0.5665  2 O 1.84-1.85
5 O 0.5000 0.3272 0.3973  2 Li 1.84-1.85, 2 Pd 2.00
6 O 0.5000 0.6728 0.8973  2 Li 1.84-1.85, 2 Pd 2.00
7 Pd 0.0000 0.2466 0.4205  2 O 2.00
8 Pd 0.0000 0.7534 0.9205  2 O 2.00

Values from the calculation:
SG   Pmc2_1
Energy above the lowest structure with this stoichiometry   143.5 meV per atom
Calculated density   5.5 g/cm³

3.
The following is a DFT calculation (PBE-GGA) of a relaxed Li4PrAsO6 crystal.

Lattice parameters (Å, degrees): 5.6662 5.6662 5.0941 98.14 98.14 124.14
Last column: nearest neighbours and their distance in Å.
Sites, in units of the cell vectors:
1 As 0.1662 0.8338 0.0000  6 O 1.88-1.90
2 Li 0.5231 0.4769 0.0000  4 O 2.06-2.18
3 Li 0.0467 0.9533 0.5000  4 O 1.94-2.04
4 Li 0.6409 0.3591 0.5000  2 O 2.00
5 Li 0.2861 0.7139 0.5000  4 O 1.93-2.01
6 O 0.9324 0.6116 0.2202  1 As 1.88, 3 Li 1.94-2.06
7 O 0.2519 0.1811 0.2314  1 As 1.90, 2 Li 2.00-2.04
8 O 0.4963 0.8960 0.2369  1 As 1.89, 1 Li 1.93
9 O 0.1040 0.5037 0.7631  1 As 1.89, 1 Li 1.93
10 O 0.8189 0.7481 0.7686  1 As 1.90, 2 Li 2.00-2.04
11 O 0.3884 0.0676 0.7798  1 As 1.88, 3 Li 1.94-2.06
12 Pr 0.8453 0.1547 0.0000  6 O 2.33-2.41

Values from the calculation:
SG   C2
Uncorrected energy   -71.20 eV/cell
Calculated density   4.4 g/cm³

4.
The following is a DFT calculation (PBE-GGA) of a relaxed LiReAsO crystal.

Lattice parameters (Å, degrees): 3.0323 6.4728 5.8916 90.00 90.00 90.00
Last column: nearest neighbours and their distance in Å.
Sites, in units of the cell vectors:
1 As 0.0000 0.7273 0.3649  4 Re 2.57-2.58, 2 Li 2.61-2.77
2 As 0.0000 0.2727 0.8649  4 Re 2.57-2.58, 2 Li 2.61-2.77
3 Li 0.0000 0.1276 0.4220  2 O 1.86
4 Li 0.0000 0.8724 0.9220  2 O 1.86
5 O 0.5000 0.2836 0.3564  2 Li 1.86, 2 Re 2.03-2.04
6 O 0.5000 0.7164 0.8564  2 Li 1.86, 2 Re 2.03-2.04
7 Re 0.5000 0.5032 0.1107  2 O 2.03-2.04
8 Re 0.5000 0.4968 0.6107  2 O 2.03-2.04

Values from the calculation:
SG   Pmc2_1
Energy above the lowest structure with this stoichiometry   0.0 meV per atom
Calculated density   8.2 g/cm³

5.
The following is a DFT calculation (PBE-GGA) of a relaxed LiReAsO crystal.

Lattice parameters (Å, degrees): 3.6959 3.6959 8.4462 90.00 90.00 90.00
Last column: nearest neighbours and their distance in Å.
Sites, in units of the cell vectors:
1 As 0.0000 0.5000 0.2806  4 Re 2.62, 1 Li 2.86
2 As 0.5000 0.0000 0.7194  4 Re 2.62, 1 Li 2.86
3 Li 0.5000 0.0000 0.0579  4 O 1.91
4 Li 0.0000 0.5000 0.9421  4 O 1.91
5 O 0.0000 0.0000 0.0000  4 Li 1.91
6 O 0.5000 0.5000 0.0000  4 Li 1.91
7 Re 0.0000 0.0000 0.5000  4 Re 2.61, 4 As 2.62
8 Re 0.5000 0.5000 0.5000  4 Re 2.61, 4 As 2.62

Values from the calculation:
SG   P4/nmm
Energy above the lowest structure with this stoichiometry   505.9 meV per atom
Calculated density   8.2 g/cm³

6.
The following is a DFT calculation (PBE-GGA) of a relaxed LiReAsO crystal.

Lattice parameters (Å, degrees): 3.3610 3.3610 8.9234 90.00 90.00 90.00
Last column: nearest neighbours and their distance in Å.
Sites, in units of the cell vectors:
1 As 0.7500 0.7500 0.2891  4 Li 2.52, 4 Re 2.69
2 As 0.2500 0.2500 0.7109  4 Li 2.52, 4 Re 2.69
3 Li 0.7500 0.2500 0.5000  4 Li 2.38, 4 As 2.52
4 Li 0.2500 0.7500 0.5000  4 Li 2.38, 4 As 2.52
5 O 0.7500 0.2500 0.0000  4 Re 2.14, 4 O 2.38
6 O 0.2500 0.7500 0.0000  4 Re 2.14, 4 O 2.38
7 Re 0.2500 0.2500 0.1488  4 O 2.14
8 Re 0.7500 0.7500 0.8512  4 O 2.14

Values from the calculation:
SG   P4/nmm
Energy above the lowest structure with this stoichiometry   557.9 meV per atom
Calculated density   9.4 g/cm³